Below is crystalline YHoZr at its relaxed geometry, with properties calculated at the PBE level.

Output
Total magnetization: 0.0 μB per cell
Fermi-level density of states: 1.588 states/eV per atom
E_form: 0.081 eV per atom
Calculated total energy: -6.4495 eV per atom

Cell: 3.7756 3.7794 12.9021 Å, 107.12 90.00 90.00°
Last column: nearest neighbours and their distance in Å.
Element x y z (fractional)
Ho1 0.8469 0.5335 0.7020  5 Zr 3.24-3.30, 4 Y 3.60
Y1 0.3469 0.8386 0.5061  8 Y 3.54-3.78, 4 Ho 3.60
Y2 0.8469 0.1509 0.3174  8 Y 3.54-3.78, 4 Ho 3.60-3.61
Zr1 0.3468 0.1919 0.8592  4 Zr 2.97, 5 Ho 3.24-3.30
Zr2 0.8468 0.7982 0.9644  4 Zr 2.97, 5 Ho 3.24-3.30
Ho2 0.3469 0.4564 0.1216  5 Zr 3.24-3.30, 4 Y 3.60-3.61



Below is crystalline Er3AlCo2Si6 at its relaxed geometry, with properties calculated at the PBE level.

Output
Total magnetization: 0.0 μB per cell
Fermi-level density of states: 0.656 states/eV per atom
Raw formation energy: -229 meV per atom
Calculated total energy: -5.5778 eV per atom

Cell: 5.2882 5.2882 8.8835 Å, 90.00 90.00 120.00°
Last column: nearest neighbours and their distance in Å.
Element x y z (fractional)
Si1 0.6573 0.8287 0.2718  1 Co 2.26
Er1 0.6667 0.3333 0.4189  9 Si 2.95-3.12, 3 Al 3.14
Al1 0.0000 0.0000 0.5000  6 Si 2.56
Si2 0.1713 0.8287 0.2718  1 Co 2.26
Co1 0.3333 0.6667 0.0804  3 Si 2.26
Er2 0.3333 0.6667 0.5811  9 Si 2.95-3.12, 3 Al 3.14
Si3 0.8287 0.1713 0.7282  1 Co 2.26
Si4 0.8287 0.6573 0.7282  1 Co 2.26
Er3 0.0000 0.0000 0.0000  6 Si 2.88, 6 Co 3.14
Co2 0.6667 0.3333 0.9196  3 Si 2.26
Si5 0.1713 0.3427 0.2718  1 Co 2.26
Si6 0.3427 0.1713 0.7282  1 Co 2.26



Below is crystalline Rb2CoBMo at its relaxed geometry, with properties calculated at the PBE level.

Output
Total magnetization: 6.1 μB per cell
Fermi-level density of states: 1.039 states/eV per atom
E_form: 1.658 eV per atom
Calculated total energy: -3.6523 eV per atom

Cell: 6.6459 3.7649 6.6459 Å, 90.00 90.00 90.00°
Last column: nearest neighbours and their distance in Å.
Element x y z (fractional)
Rb1 0.0000 0.0000 0.5000  2 Co 3.32
Rb2 0.5000 0.0000 0.0000  2 Co 3.32
Co1 0.0000 0.0000 0.0000  2 B 1.88
B1 0.0000 0.5000 0.0000  2 Co 1.88
Mo1 0.5000 0.5000 0.5000  2 Mo 3.76, 8 Rb 3.82



Below is crystalline SrRuN2 at its relaxed geometry, with properties calculated at the PBE level.

Output
Total magnetization: 0.0 μB per cell
Fermi-level density of states: 0.722 states/eV per atom
Raw formation energy: 634 meV per atom
Calculated total energy: -6.2684 eV per atom

Cell: 6.3647 6.3647 6.3647 Å, 31.38 31.38 31.38°
Last column: nearest neighbours and their distance in Å.
Element x y z (fractional)
Sr1 0.0000 0.0000 0.0000  2 N 2.35
N1 0.1293 0.1293 0.1293  3 Ru 2.10, 1 Sr 2.35
N2 0.8707 0.8707 0.8707  3 Ru 2.10, 1 Sr 2.35
Ru1 0.5000 0.5000 0.5000  6 N 2.10



Below is crystalline InHgI2O at its relaxed geometry, with properties calculated at the PBE level.

Output
Total magnetization: 0.6 μB per cell
Fermi-level density of states: 1.373 states/eV per atom
Raw formation energy: -23 meV per atom
Calculated total energy: -2.2429 eV per atom

Cell: 6.1355 6.1355 4.1816 Å, 90.00 90.00 90.00°
Last column: nearest neighbours and their distance in Å.
Element x y z (fractional)
I1 0.0000 0.5000 0.0000  2 Hg 3.07
I2 0.5000 0.0000 0.0000  2 Hg 3.07
Hg1 0.0000 0.0000 0.0000  2 O 2.09
In1 0.5000 0.5000 0.5000  8 I 3.71
O1 0.0000 0.0000 0.5000  2 Hg 2.09



Below is crystalline Nd5ScTl6 at its relaxed geometry, with properties calculated at the PBE level.

Output
Total magnetization: 0.0 μB per cell
Fermi-level density of states: 0.804 states/eV per atom
E_form: -0.359 eV per atom
Calculated total energy: -4.0561 eV per atom

Cell: 5.4691 9.4405 9.4508 Å, 60.04 73.16 54.54°
Last column: nearest neighbours and their distance in Å.
Element x y z (fractional)
Tl1 0.2379 0.9217 0.6805  1 Sc 3.19, 7 Nd 3.30-3.42
Tl2 0.7621 0.0783 0.3195  1 Sc 3.19, 7 Nd 3.30-3.42
Tl3 0.7621 0.3977 0.6805  1 Sc 3.19, 7 Nd 3.30-3.42
Nd1 0.0000 0.3364 0.3272  8 Tl 3.39-3.42
Nd2 0.5000 0.8255 0.3490  8 Tl 3.30-3.38
Nd3 0.5000 0.5000 0.0000  8 Tl 3.30-3.44
Sc1 0.0000 0.0000 0.0000  8 Tl 3.19-3.26
Tl4 0.7284 0.7710 0.0000  2 Sc 3.25-3.26, 6 Nd 3.36-3.44, 1 Tl 3.52
Nd4 0.0000 0.6636 0.6728  8 Tl 3.39-3.42
Tl5 0.2379 0.6023 0.3195  1 Sc 3.19, 7 Nd 3.30-3.42
Tl6 0.2716 0.2290 0.0000  2 Sc 3.25-3.26, 6 Nd 3.36-3.44, 1 Tl 3.52
Nd5 0.5000 0.1745 0.6510  8 Tl 3.30-3.38



Question: Fermi-level density of states of number 2 (Er3AlCo2Si6)?
Answer: 0.656 states/eV per atom



Question: total magnetization of number 3 (Rb2CoBMo)?
Answer: 6.1 μB per cell